(1)
# Dy4ErPu3S8 PBE relaxed
# - formation energy without anion corrections (eV per atom) = -1.932
data_Dy4ErPu3S8
_chemical_formula_sum 'Dy12 Er3 Pu9 S24'
_symmetry_space_group_name_H-M 'R -3 m'
_symmetry_Int_Tables_number 166
_symmetry_space_group_name_Hall '-R 3 2"'
_cell_length_a 7.8196
_cell_length_b 7.8196
_cell_length_c 19.2682
_cell_angle_alpha 90.00
_cell_angle_beta 90.00
_cell_angle_gamma 120.00
loop_
_atom_site_label
_atom_site_fract_x
_atom_site_fract_y
_atom_site_fract_z
Dy1 0.0000 0.0000 0.0000
Dy2 0.0000 0.5000 0.0000
Er1 0.0000 0.0000 0.5000
Pu1 0.0000 0.5000 0.5000
S1 0.0000 0.0000 0.2510
S2 0.0033 0.5017 0.2505

***

(2)
# NaZr2Te2 PBE relaxed
# - distance to the lowest polymorph of the same formula (eV/atom) = 0.083
# - formation energy without anion corrections (eV per atom) = -0.521
data_NaZr2Te2
_chemical_formula_sum 'Na2 Zr4 Te4'
_symmetry_space_group_name_H-M 'P 4/m b m'
_symmetry_Int_Tables_number 127
_symmetry_space_group_name_Hall '-P 4 2ab'
_cell_length_a 8.1189
_cell_length_b 8.1189
_cell_length_c 3.6932
_cell_angle_alpha 90.00
_cell_angle_beta 90.00
_cell_angle_gamma 90.00
loop_
_atom_site_label
_atom_site_fract_x
_atom_site_fract_y
_atom_site_fract_z
Na1 0.0000 0.0000 0.0000
Zr1 0.1410 0.3590 0.5000
Te1 0.1500 0.6500 0.0000

***

(3)
# ScAsRu2 PBE relaxed
# - DFT formation energy (eV/atom) = -0.070
data_ScAsRu2
_chemical_formula_sum 'Sc4 As4 Ru8'
_symmetry_space_group_name_H-M 'F -4 3 m'
_symmetry_Int_Tables_number 216
_symmetry_space_group_name_Hall 'F -4 2 3'
_cell_length_a 6.3291
_cell_length_b 6.3291
_cell_length_c 6.3291
_cell_angle_alpha 90.00
_cell_angle_beta 90.00
_cell_angle_gamma 90.00
loop_
_atom_site_label
_atom_site_fract_x
_atom_site_fract_y
_atom_site_fract_z
Sc1 0.0000 0.0000 0.0000
As1 0.2500 0.2500 0.2500
Ru1 0.0000 0.0000 0.5000
Ru2 0.2500 0.2500 0.7500

***

(4)
# SrPa2FeN4 PBE relaxed
# - formation energy without anion corrections (eV per atom) = -0.834
data_SrPa2FeN4
_chemical_formula_sum 'Sr2 Pa4 Fe2 N8'
_symmetry_space_group_name_H-M 'I -4 2 m'
_symmetry_Int_Tables_number 121
_symmetry_space_group_name_Hall 'I -4 2'
_cell_length_a 5.9165
_cell_length_b 5.9165
_cell_length_c 7.3789
_cell_angle_alpha 90.00
_cell_angle_beta 90.00
_cell_angle_gamma 90.00
loop_
_atom_site_label
_atom_site_fract_x
_atom_site_fract_y
_atom_site_fract_z
Sr1 0.0000 0.0000 0.0000
Pa1 0.0000 0.5000 0.2500
Fe1 0.0000 0.0000 0.5000
N1 0.1979 0.1979 0.6666